Compound: Hf6Co16Ge7
Source: Alexandria via LeMat-Bulk
Functional: SCAN
Structure: single point on PBEsol structure

## Properties
- magnetic moment (μB per formula unit) = 0.02
- ΔH_f (0 K) (meV per atom) = -420

Cell: 11.360 11.360 11.360 Å, 90.00 90.00 90.00°
Space group Fm-3m (No. 225)
One atom of each set of equivalent atoms:
Hf  0.000  0.000  0.204 [24 per cell]
Co  0.121  0.121  0.379 [32 per cell]
Co  0.170  0.170  0.170 [32 per cell]
Ge  0.000  0.000  0.500 [4 per cell]
Ge  0.000  0.250  0.250 [24 per cell]


Compound: Y6UO12
Source: Alexandria via LeMat-Bulk
Functional: SCAN
Structure: single point on PBEsol structure

## Properties
- magnetic moment (μB per formula unit) = 0.00
- formation energy without anion corrections (eV/atom) = -3.8895

Cell: 9.8775 9.8775 9.3158 Å, 90.00 90.00 120.00°
Space group R-3 (No. 148, hexagonal axes)
One atom of each set of equivalent atoms:
Y  0.0380  0.7864  0.1414 [18 per cell]
U  0.0000  0.0000  0.5000 [3 per cell]
O  0.0306  0.8099  0.8980 [18 per cell]
O  0.0365  0.8396  0.3869 [18 per cell]


Compound: Si2AsBr
Source: Alexandria via LeMat-Bulk
Functional: SCAN
Structure: single point on PBEsol structure

## Properties
- offset from the most stable computed form (eV per atom) = 0.000
- magnetic moment (μB per formula unit) = 0.00
- formation energy without anion corrections (eV/atom) = 0.4585

Cell: 5.467 8.116 3.627 Å, 90.00 90.00 90.00°
Space group Cmmm (No. 65)
One atom of each set of equivalent atoms:
Si  0.000  0.219  0.000 [4 per cell]
As  0.000  0.000  0.500 [2 per cell]
Br  0.000  0.500  0.500 [2 per cell]


Compound: ZnPAu3
Source: Alexandria via LeMat-Bulk
Functional: SCAN
Structure: single point on PBEsol structure

## Properties
- magnetic moment (μB per formula unit) = 0.00
- ΔH_f (0 K) (meV per atom) = 329

Cell: 4.672 4.672 4.672 Å, 90.00 90.00 90.00°
Space group Pm-3m (No. 221)
One atom of each set of equivalent atoms:
Zn  0.000  0.000  0.000 [1 per cell]
P  0.500  0.500  0.500 [1 per cell]
Au  0.000  0.500  0.500 [3 per cell]